(1)
{"formula": "TlTcAu4", "functional": "PBE", "state": "relaxed", "cell": [[0.000, 3.941, 3.941], [3.941, 0.000, 3.941], [3.941, 3.941, 0.000]], "species": ["Au", "Au", "Au", "Au", "Tc", "Tl"], "fractional_positions": [[0.375, 0.874, 0.375], [0.375, 0.375, 0.874], [0.375, 0.375, 0.375], [0.874, 0.375, 0.375], [0.750, 0.750, 0.750], [0.000, 0.000, 0.000]], "volume_a3_per_atom": 20.41, "formation_enthalpy_0k_kj_per_mol_atoms": 46.5, "total_energy_ev_per_atom": -3.825, "space_group": "F-43m (216)"}


(2)
{"formula": "La2PmSm6Tm", "functional": "PBE", "state": "relaxed", "cell": [[9.488, -2.225, -2.309], [0.703, 8.617, -2.016], [0.703, -2.334, 8.536]], "species": ["Sm", "Sm", "Sm", "Sm", "Sm", "Sm", "Sm", "Sm", "Sm", "Sm", "Sm", "Sm", "Tm", "Tm", "Pm", "Pm", "La", "La", "La", "La"], "fractional_positions": [[0.556, 0.738, 0.121], [0.880, 0.298, 0.506], [0.444, 0.262, 0.879], [0.620, 0.494, 0.702], [0.811, 0.422, 0.982], [0.120, 0.702, 0.494], [0.056, 0.121, 0.738], [0.944, 0.879, 0.262], [0.311, 0.982, 0.422], [0.689, 0.018, 0.578], [0.189, 0.578, 0.018], [0.380, 0.506, 0.298], [0.250, 0.406, 0.594], [0.750, 0.594, 0.406], [0.250, 0.987, 0.013], [0.750, 0.013, 0.987], [0.459, 0.805, 0.708], [0.959, 0.708, 0.805], [0.041, 0.292, 0.195], [0.541, 0.195, 0.292]], "volume_a3_per_atom": 34.38, "formation_enthalpy_0k_kj_per_mol_atoms": 11.0, "total_energy_ev_per_atom": -4.625, "space_group": "C2/c (15)"}


(3)
{"formula": "ZnCrCu2Sb", "functional": "PBE", "state": "relaxed", "cell": [[4.785, 0.000, 0.000], [0.000, 5.346, 0.000], [0.000, 0.000, 4.785]], "species": ["Sb", "Cr", "Zn", "Cu", "Cu"], "fractional_positions": [[0.000, 0.000, 0.000], [0.500, 0.500, 0.500], [0.000, 0.500, 0.000], [0.500, 0.000, 0.000], [0.000, 0.000, 0.500]], "volume_a3_per_atom": 24.48, "total_energy_ev_per_atom": -3.680, "e_form_raw_ev_per_atom": 0.96, "space_group": "P4/mmm (123)"}


(4)
{"formula": "VB4W", "functional": "PBE", "state": "relaxed", "cell": [[2.848, 0.001, 1.047], [1.160, 4.043, 1.236], [0.004, -0.003, 4.384]], "species": ["B", "B", "B", "B", "V", "W"], "fractional_positions": [[0.754, 0.913, 0.580], [0.754, 0.580, 0.913], [0.246, 0.087, 0.420], [0.246, 0.420, 0.087], [0.500, 0.500, 0.500], [0.000, 0.000, 0.000]], "volume_a3_per_atom": 8.41, "formation_enthalpy_0k_kj_per_mol_atoms": -41.0, "total_energy_ev_per_atom": -8.555, "space_group": "Immm (71)"}


(5)
{"formula": "SbIr4Br", "functional": "PBE", "state": "relaxed", "cell": [[0.000, 3.799, 3.799], [3.799, 0.000, 3.799], [3.799, 3.799, 0.000]], "species": ["Ir", "Ir", "Ir", "Ir", "Br", "Sb"], "fractional_positions": [[0.375, 0.375, 0.375], [0.375, 0.375, 0.874], [0.874, 0.375, 0.375], [0.375, 0.874, 0.375], [0.000, 0.000, 0.000], [0.750, 0.750, 0.750]], "volume_a3_per_atom": 18.27, "total_energy_ev_per_atom": -5.999, "e_form_raw_ev_per_atom": 0.87, "space_group": "F-43m (216)"}


(6)
{"formula": "Li3TlPd", "functional": "PBE", "state": "relaxed", "cell": [[4.752, 0.000, 0.000], [0.000, 4.752, 0.000], [0.000, 0.000, 4.752]], "species": ["Li", "Li", "Li", "Pd", "Tl"], "fractional_positions": [[0.500, 0.000, 0.000], [0.000, 0.000, 0.500], [0.000, 0.500, 0.000], [0.000, 0.000, 0.000], [0.500, 0.500, 0.500]], "volume_a3_per_atom": 21.47, "formation_enthalpy_0k_kj_per_mol_atoms": -7.6, "total_energy_ev_per_atom": -2.739, "space_group": "Pm-3m (221)"}